(1)
# ZrCr2Ru

A relaxed structure of ZrCr2Ru (PBE, Alexandria via LeMat-Bulk).

Cell lengths 8.9444, 8.9444, 8.9444 Å; angles 18.12, 18.12, 18.12 degrees
Last column: nearest neighbours and their distance in Å.
Atoms (fractional coordinates):
1 Cr 0.9913 0.9913 0.9913  3 Ru 2.55, 6 Cr 2.82
2 Ru 0.2500 0.2500 0.2500  6 Cr 2.55, 6 Ru 2.82
3 Cr 0.5087 0.5087 0.5087  3 Ru 2.55, 6 Cr 2.82
4 Zr 0.7500 0.7500 0.7500  6 Zr 2.82, 6 Cr 2.92

## Properties
density of states at the Fermi level: 1.2110 states/eV per atom
total magnetization: 0.0015 μB per atom
symmetry: R-3m (166)
E: -35.2 eV for the cell shown
offset from the most stable computed form: 465.0 meV per atom
energy of formation: 0.47 eV/atom
volume: 15.11 Å³/atom


(2)
# ZrCr2Ru

A relaxed structure of ZrCr2Ru (PBE, Alexandria via LeMat-Bulk).

Cell lengths 7.0078, 7.0078, 5.6030 Å; angles 51.29, 51.29, 90.00 degrees
Last column: nearest neighbours and their distance in Å.
Atoms (fractional coordinates):
1 Zr 0.2500 0.7500 0.5000  2 Ru 2.62, 4 Cr 2.74
2 Ru 0.7500 0.2500 0.5000  4 Cr 2.39, 2 Zr 2.62
3 Cr 0.8750 0.9115 0.7500  2 Ru 2.39, 2 Cr 2.66
4 Cr 0.6615 0.1250 0.2500  2 Ru 2.39, 2 Cr 2.66
5 Cr 0.3750 0.3385 0.7500  2 Ru 2.39, 2 Cr 2.66
6 Zr 0.5000 0.5000 0.0000  2 Ru 2.62, 4 Cr 2.74
7 Cr 0.0885 0.6250 0.2500  2 Ru 2.39, 2 Cr 2.66
8 Ru 0.0000 0.0000 0.0000  4 Cr 2.39, 2 Zr 2.62

## Properties
density of states at the Fermi level: 1.4137 states/eV per atom
total magnetization: 0.0003 μB per atom
symmetry: I-42d (122)
E: -69.7 eV for the cell shown
offset from the most stable computed form: 548.2 meV per atom
energy of formation: 0.56 eV/atom
volume: 16.05 Å³/atom


(3)
# ZrCrRu2

A relaxed structure of ZrCrRu2 (PBE, Alexandria via LeMat-Bulk).

Cell lengths 3.1319, 3.1319, 6.3200 Å; angles 90.00, 90.00, 90.00 degrees
Last column: nearest neighbours and their distance in Å.
Atoms (fractional coordinates):
1 Zr 0.0000 0.0000 0.4964  5 Ru 2.70-3.00, 4 Cr 2.86
2 Cr 0.5000 0.5000 0.7820  4 Ru 2.51
3 Ru 0.5000 0.5000 0.2510  4 Zr 2.70, 4 Ru 2.84, 1 Cr 2.96
4 Ru 0.0000 0.0000 0.9705  4 Cr 2.51

## Properties
density of states at the Fermi level: 1.3889 states/eV per atom
total magnetization: 0.0011 μB per atom
symmetry: P4mm (99)
E: -36.4 eV for the cell shown
energy of formation: 0.09 eV/atom
volume: 15.50 Å³/atom


(4)
# ZrCr2Ru

A relaxed structure of ZrCr2Ru (PBE, Alexandria via LeMat-Bulk).

Cell lengths 5.0328, 5.0328, 2.7927 Å; angles 79.76, 79.76, 117.54 degrees
Last column: nearest neighbours and their distance in Å.
Atoms (fractional coordinates):
1 Cr 0.5000 0.5000 0.0000  4 Cr 2.61-2.79, 2 Ru 2.65, 2 Zr 2.65
2 Ru 0.5000 0.0000 0.5000  2 Zr 2.61, 4 Cr 2.65, 2 Ru 2.79
3 Zr 0.0000 0.5000 0.5000  2 Ru 2.61, 4 Cr 2.65, 2 Zr 2.79
4 Cr 0.0000 0.0000 0.0000  4 Cr 2.61-2.79, 2 Zr 2.65, 2 Ru 2.65

## Properties
density of states at the Fermi level: 1.0025 states/eV per atom
total magnetization: 0.0000 μB per atom
symmetry: C2/m (12)
E: -36.3 eV for the cell shown
offset from the most stable computed form: 192.5 meV per atom
energy of formation: 0.20 eV/atom
volume: 14.73 Å³/atom


(5)
# ZrCrRu2

A relaxed structure of ZrCrRu2 (PBE, Alexandria via LeMat-Bulk).

Cell lengths 2.9390, 3.9000, 5.5852 Å; angles 90.00, 90.00, 90.00 degrees
Last column: nearest neighbours and their distance in Å.
Atoms (fractional coordinates):
1 Ru 0.5000 0.5000 0.2513  1 Cr 2.52, 4 Zr 2.76
2 Ru 0.0000 0.0000 0.9681  4 Cr 2.61, 2 Zr 2.73-2.86, 4 Ru 2.91
3 Cr 0.5000 0.5000 0.8008  5 Ru 2.52-2.61
4 Zr 0.0000 0.0000 0.4798  6 Ru 2.73-2.86, 2 Zr 2.94, 4 Cr 3.03

## Properties
density of states at the Fermi level: 1.0182 states/eV per atom
total magnetization: 0.5573 μB per atom
symmetry: Pmm2 (25)
E: -36.3 eV for the cell shown
energy of formation: 0.10 eV/atom
volume: 16.00 Å³/atom


(6)
# ZrCrRu2

A relaxed structure of ZrCrRu2 (PBE, Alexandria via LeMat-Bulk).

Cell lengths 3.1608, 3.1608, 6.2415 Å; angles 90.00, 90.00, 90.00 degrees
Last column: nearest neighbours and their distance in Å.
Atoms (fractional coordinates):
1 Ru 0.0000 0.0000 0.5236  4 Cr 2.64, 4 Zr 2.81, 1 Ru 2.83
2 Ru 0.0000 0.0000 0.9764  4 Cr 2.64, 4 Zr 2.81, 1 Ru 2.83
3 Cr 0.5000 0.5000 0.7500  8 Ru 2.64
4 Zr 0.5000 0.5000 0.2500  8 Ru 2.81, 2 Cr 3.12

## Properties
density of states at the Fermi level: 0.9809 states/eV per atom
total magnetization: 0.5757 μB per atom
symmetry: P4/mmm (123)
E: -37.3 eV for the cell shown
energy of formation: -0.14 eV/atom
volume: 15.59 Å³/atom


Q: Which of these has the highest density of states at the Fermi level?
A: number 2


Q: Which formula does entry 2 have?
A: ZrCr2Ru


Please write out number 6 again, unchanged.
# ZrCrRu2

A relaxed structure of ZrCrRu2 (PBE, Alexandria via LeMat-Bulk).

Cell lengths 3.1608, 3.1608, 6.2415 Å; angles 90.00, 90.00, 90.00 degrees
Last column: nearest neighbours and their distance in Å.
Atoms (fractional coordinates):
1 Ru 0.0000 0.0000 0.5236  4 Cr 2.64, 4 Zr 2.81, 1 Ru 2.83
2 Ru 0.0000 0.0000 0.9764  4 Cr 2.64, 4 Zr 2.81, 1 Ru 2.83
3 Cr 0.5000 0.5000 0.7500  8 Ru 2.64
4 Zr 0.5000 0.5000 0.2500  8 Ru 2.81, 2 Cr 3.12

## Properties
density of states at the Fermi level: 0.9809 states/eV per atom
total magnetization: 0.5757 μB per atom
symmetry: P4/mmm (123)
E: -37.3 eV for the cell shown
energy of formation: -0.14 eV/atom
volume: 15.59 Å³/atom


Q: Which formula does entry 5 have?
A: ZrCrRu2